5
Lattice="5.253 0.000 0.000 0.000 5.253 0.000 0.000 0.000 6.045" Properties=species:S:1:pos:R:3 comment="LaMgZr2Pb (PBE, relaxed)" spacegroup="P4/mmm, No. 123" delta_e_f_ev_per_atom=1.1313 total_magnetization_mub_per_cell=0.00 dft_energy_ev_per_atom=-4.33 n_ef_per_ev_cell=5.5 rho_g_cm3=5.504 pbc="T T T"
La 0.000 0.000 0.000
Mg 2.626 2.626 3.022
Zr 0.000 2.626 0.000
Zr 2.626 0.000 0.000
Pb 0.000 0.000 3.022

=====

10
Lattice="5.691 0.000 0.000 0.000 6.020 0.000 -2.700 0.000 7.014" Properties=species:S:1:pos:R:3 comment="LaMg3Pd (PBE, relaxed)" spacegroup="P2_1/m, No. 11" delta_e_f_ev_per_atom=-0.3969 total_magnetization_mub_per_cell=0.00 dft_energy_ev_per_atom=-3.38 polymorph_energy_ev_per_atom=0.000 n_ef_per_ev_cell=5.5 rho_g_cm3=4.399 pbc="T T T"
La -0.546 1.505 2.641
La 3.537 4.515 4.373
Mg -2.135 1.505 6.216
Mg 2.199 3.041 1.399
Mg 2.199 5.989 1.399
Mg 0.792 0.031 5.615
Mg 0.792 2.979 5.615
Mg 5.127 4.515 0.798
Pd 0.643 4.515 3.285
Pd 2.348 1.505 3.729

=====

4
Lattice="4.949 0.000 0.000 0.000 4.949 0.000 0.000 0.000 3.415" Properties=species:S:1:pos:R:3 comment="LaMgPd2 (PBE, relaxed)" spacegroup="P4/mmm, No. 123" delta_e_f_ev_per_atom=-0.6658 total_magnetization_mub_per_cell=0.00 dft_energy_ev_per_atom=-4.89 n_ef_per_ev_cell=1.9 rho_g_cm3=7.466 pbc="T T T"
La 0.000 0.000 0.000
Mg 2.475 2.475 0.000
Pd 0.000 2.475 1.707
Pd 2.475 0.000 1.707

=====

7
Lattice="5.370 -2.083 0.000 5.370 2.083 0.000 -0.719 0.000 7.708" Properties=species:S:1:pos:R:3 comment="La2Mg3Pd2 (PBE, relaxed)" spacegroup="C2/m, No. 12" delta_e_f_ev_per_atom=-0.5201 total_magnetization_mub_per_cell=0.00 dft_energy_ev_per_atom=-4.09 polymorph_energy_ev_per_atom=0.052 n_ef_per_ev_cell=4.5 rho_g_cm3=5.427 pbc="T T T"
La 1.097 0.000 2.700
La 8.924 0.000 5.008
Mg 1.297 0.000 6.683
Mg 5.370 0.000 0.000
Mg 8.725 0.000 1.025
Pd 4.136 0.000 2.687
Pd 5.885 0.000 5.021

=====

5
Lattice="5.706 0.000 0.000 0.000 5.706 0.000 0.000 0.000 5.706" Properties=species:S:1:pos:R:3 comment="La3MgPd (PBE, relaxed)" spacegroup="Pm-3m, No. 221" delta_e_f_ev_per_atom=-0.1209 total_magnetization_mub_per_cell=0.00 dft_energy_ev_per_atom=-4.43 polymorph_energy_ev_per_atom=0.000 n_ef_per_ev_cell=13.4 rho_g_cm3=4.893 pbc="T T T"
La 0.000 0.000 2.853
La 0.000 2.853 0.000
La 2.853 0.000 0.000
Mg 2.853 2.853 2.853
Pd 0.000 0.000 0.000

=====

8
Lattice="4.171 0.000 0.000 0.000 4.171 0.000 0.000 0.000 7.963" Properties=species:S:1:pos:R:3 comment="LaMgPd6 (PBE, relaxed)" spacegroup="P4/mmm, No. 123" delta_e_f_ev_per_atom=-0.6200 total_magnetization_mub_per_cell=0.00 dft_energy_ev_per_atom=-5.33 n_ef_per_ev_cell=8.7 rho_g_cm3=9.609 pbc="T T T"
La 0.000 0.000 0.000
Mg 0.000 0.000 3.982
Pd 0.000 2.086 2.134
Pd 0.000 2.086 5.829
Pd 2.086 0.000 2.134
Pd 2.086 0.000 5.829
Pd 2.086 2.086 0.000
Pd 2.086 2.086 3.982

=====

9
Lattice="7.768 0.000 0.000 -3.884 6.728 0.000 0.000 0.000 4.165" Properties=species:S:1:pos:R:3 comment="LaMgPd (PBE, relaxed)" spacegroup="P-62m, No. 189" delta_e_f_ev_per_atom=-0.6683 total_magnetization_mub_per_cell=0.00 dft_energy_ev_per_atom=-4.57 n_ef_per_ev_cell=6.8 rho_g_cm3=6.171 pbc="T T T"
La -1.619 2.805 0.000
La 3.239 0.000 0.000
La 2.265 3.923 0.000
Mg -2.968 5.140 2.082
Mg 0.916 1.587 2.082
Mg 5.936 0.000 2.082
Pd 0.000 0.000 0.000
Pd 0.000 4.485 2.082
Pd 3.884 2.243 2.082

=====

3
Lattice="0.000 3.453 3.453 3.453 0.000 3.453 3.453 3.453 0.000" Properties=species:S:1:pos:R:3 comment="LaMgPd (PBE, relaxed)" spacegroup="F-43m, No. 216" delta_e_f_ev_per_atom=-0.5016 total_magnetization_mub_per_cell=0.00 dft_energy_ev_per_atom=-4.41 n_ef_per_ev_cell=2.6 rho_g_cm3=5.436 pbc="T T T"
La 0.000 0.000 0.000
Mg 3.453 3.453 3.453
Pd 1.727 1.727 1.727

=====

8
Lattice="-4.291 4.291 3.218 4.291 -4.291 3.218 4.291 4.291 -3.218" Properties=species:S:1:pos:R:3 comment="La2MgPd (PBE, relaxed)" spacegroup="I-42d, No. 122" delta_e_f_ev_per_atom=-0.2097 total_magnetization_mub_per_cell=0.00 dft_energy_ev_per_atom=-4.37 n_ef_per_ev_cell=6.2 rho_g_cm3=5.724 pbc="T T T"
La 6.437 1.703 -0.804
La 1.703 2.146 0.804
La -2.146 2.588 2.413
La 2.588 2.146 4.022
Mg 4.291 0.000 1.609
Mg 0.000 0.000 3.218
Pd 0.000 0.000 0.000
Pd 0.000 4.291 1.609

=====

4
Lattice="1.960 1.132 10.725 -1.960 1.132 10.725 0.000 -2.264 10.725" Properties=species:S:1:pos:R:3 comment="La2MgPd (PBE, relaxed)" spacegroup="R-3m, No. 166" delta_e_f_ev_per_atom=-0.0642 total_magnetization_mub_per_cell=0.00 dft_energy_ev_per_atom=-4.22 n_ef_per_ev_cell=4.9 rho_g_cm3=4.751 pbc="T T T"
La 0.000 0.000 3.523
La 0.000 0.000 28.653
Mg 0.000 0.000 0.000
Pd 0.000 0.000 16.088

=====

19
Lattice="6.047 3.491 3.108 -6.047 3.491 3.108 0.000 -6.982 3.108" Properties=species:S:1:pos:R:3 comment="LaMg12Pd6 (PBE, relaxed)" spacegroup="R-3m, No. 166" delta_e_f_ev_per_atom=-0.4412 total_magnetization_mub_per_cell=0.00 dft_energy_ev_per_atom=-3.35 n_ef_per_ev_cell=10.3 rho_g_cm3=4.509 pbc="T T T"
La 0.000 0.000 0.000
Mg -2.301 -3.985 4.662
Mg -4.601 0.000 4.662
Mg -1.591 -0.919 3.164
Mg 1.591 -0.919 3.164
Mg 0.000 1.837 3.164
Mg 2.301 -3.985 4.662
Mg -2.301 3.985 4.662
Mg 0.000 -1.837 6.160
Mg -1.591 0.919 6.160
Mg 1.591 0.919 6.160
Mg 4.601 0.000 4.662
Mg 2.301 3.985 4.662
Pd 0.000 -3.084 3.773
Pd -2.670 1.542 3.773
Pd -2.670 -1.542 5.552
Pd 2.670 1.542 3.773
Pd 2.670 -1.542 5.552
Pd 0.000 3.084 5.552

=====

5
Lattice="6.015 0.000 0.000 0.000 6.015 0.000 0.000 0.000 6.015" Properties=species:S:1:pos:R:3 comment="LaMg3Pd (PBE, relaxed)" spacegroup="Pm-3m, No. 221" delta_e_f_ev_per_atom=1.4062 total_magnetization_mub_per_cell=0.57 dft_energy_ev_per_atom=-1.57 polymorph_energy_ev_per_atom=1.803 n_ef_per_ev_cell=6.0 rho_g_cm3=2.428 pbc="T T T"
La 0.000 0.000 0.000
Mg 0.000 0.000 3.007
Mg 0.000 3.007 0.000
Mg 3.007 0.000 0.000
Pd 3.007 3.007 3.007

=====

5
Lattice="-2.049 2.049 8.078 2.049 -2.049 8.078 2.049 2.049 -8.078" Properties=species:S:1:pos:R:3 comment="La2MgPd2 (PBE, relaxed)" spacegroup="I4/mmm, No. 139" delta_e_f_ev_per_atom=-0.3652 total_magnetization_mub_per_cell=0.00 dft_energy_ev_per_atom=-4.73 n_ef_per_ev_cell=2.2 rho_g_cm3=6.302 pbc="T T T"
La 0.000 0.000 1.911
La 0.000 0.000 14.244
Mg 0.000 0.000 8.078
Pd 2.049 0.000 4.039
Pd 0.000 2.049 4.039

=====

3
Lattice="-1.727 1.727 5.959 1.727 -1.727 5.959 1.727 1.727 -5.959" Properties=species:S:1:pos:R:3 comment="LaMgPd (PBE, relaxed)" spacegroup="I4mm, No. 107" delta_e_f_ev_per_atom=-0.5024 total_magnetization_mub_per_cell=0.00 dft_energy_ev_per_atom=-4.41 n_ef_per_ev_cell=2.4 rho_g_cm3=6.301 pbc="T T T"
La 0.000 0.000 0.000
Mg 0.000 0.000 3.325
Pd 0.000 0.000 7.920

=====

24
Lattice="-5.875 5.875 3.800 5.875 -5.875 3.800 5.875 5.875 -3.800" Properties=species:S:1:pos:R:3 comment="LaMg9Pd2 (PBE, relaxed)" spacegroup="I4_1/amd, No. 141" delta_e_f_ev_per_atom=-0.3147 total_magnetization_mub_per_cell=0.00 dft_energy_ev_per_atom=-2.79 n_ef_per_ev_cell=16.2 rho_g_cm3=3.611 pbc="T T T"
La 5.875 2.938 0.950
La 0.000 2.938 2.850
Mg 5.875 -2.938 2.850
Mg 4.440 -0.611 1.438
Mg 7.310 -0.611 1.438
Mg 2.326 1.502 0.462
Mg 9.424 1.502 0.462
Mg 4.440 5.264 -1.438
Mg 1.435 -0.611 2.362
Mg 2.326 4.373 0.462
Mg 3.549 -1.502 4.262
Mg 2.326 7.377 -0.462
Mg 3.549 1.502 3.338
Mg 4.440 6.486 1.438
Mg 1.435 0.611 5.238
Mg -3.549 4.373 3.338
Mg 3.549 4.373 3.338
Mg -1.435 6.486 2.362
Mg 1.435 6.486 2.362
Mg 0.000 8.813 0.950
Pd 0.000 0.000 0.000
Pd 2.938 2.938 -1.900
Pd 2.938 -2.938 1.900
Pd 0.000 5.875 0.000

=====

5
Lattice="-2.091 2.091 6.232 2.091 -2.091 6.232 2.091 2.091 -6.232" Properties=species:S:1:pos:R:3 comment="LaMg2Pd2 (PBE, relaxed)" spacegroup="I4/mmm, No. 139" delta_e_f_ev_per_atom=-0.6677 total_magnetization_mub_per_cell=0.00 dft_energy_ev_per_atom=-4.37 polymorph_energy_ev_per_atom=0.000 n_ef_per_ev_cell=2.6 rho_g_cm3=6.101 pbc="T T T"
La 0.000 0.000 0.000
Mg 2.091 0.000 3.116
Mg 0.000 2.091 3.116
Pd 0.000 0.000 4.862
Pd 0.000 0.000 7.602

=====

9
Lattice="6.149 -2.143 0.000 6.149 2.143 0.000 -4.249 0.000 8.127" Properties=species:S:1:pos:R:3 comment="La3Mg2Pd4 (PBE, relaxed)" spacegroup="C2/m, No. 12" delta_e_f_ev_per_atom=-0.7196 total_magnetization_mub_per_cell=0.00 dft_energy_ev_per_atom=-5.02 n_ef_per_ev_cell=5.6 rho_g_cm3=6.909 pbc="T T T"
La 0.000 0.000 0.000
La 3.272 0.000 2.385
La 4.777 0.000 5.742
Mg 1.230 0.000 5.279
Mg 6.819 0.000 2.848
Pd -0.866 0.000 3.378
Pd -0.303 0.000 7.568
Pd 8.352 0.000 0.559
Pd 8.915 0.000 4.749

=====

22
Lattice="-4.930 4.930 4.930 4.930 -4.930 4.930 4.930 4.930 -4.930" Properties=species:S:1:pos:R:3 comment="La3Mg2Pd6 (PBE, relaxed)" spacegroup="Im-3m, No. 229" delta_e_f_ev_per_atom=-0.7630 total_magnetization_mub_per_cell=0.00 dft_energy_ev_per_atom=-5.23 n_ef_per_ev_cell=12.6 rho_g_cm3=7.650 pbc="T T T"
La 2.989 0.000 0.000
La 6.871 0.000 0.000
La 0.000 2.989 0.000
La 0.000 0.000 2.989
La 0.000 6.871 0.000
La 0.000 0.000 6.871
Mg 2.465 2.465 -2.465
Mg 2.465 -2.465 2.465
Mg -2.465 2.465 2.465
Mg 2.465 2.465 2.465
Pd 4.930 1.612 -1.612
Pd 4.930 -1.612 1.612
Pd 4.930 1.612 1.612
Pd 1.612 4.930 -1.612
Pd 3.318 3.318 0.000
Pd 1.612 -1.612 4.930
Pd 3.318 0.000 3.318
Pd -1.612 4.930 1.612
Pd 1.612 4.930 1.612
Pd -1.612 1.612 4.930
Pd 1.612 1.612 4.930
Pd 0.000 3.318 3.318

=====

18
Lattice="2.958 -8.554 0.000 2.958 8.554 0.000 0.000 0.000 7.505" Properties=species:S:1:pos:R:3 comment="La2Mg3Pd4 (PBE, relaxed)" spacegroup="Cmce, No. 64" delta_e_f_ev_per_atom=-0.6887 total_magnetization_mub_per_cell=0.00 dft_energy_ev_per_atom=-4.62 n_ef_per_ev_cell=12.0 rho_g_cm3=6.790 pbc="T T T"
La 2.958 6.721 6.913
La 2.958 1.833 3.161
La 2.958 -1.833 4.344
La 2.958 -6.721 0.592
Mg 0.000 0.000 3.752
Mg 1.479 3.942 5.628
Mg 1.479 -3.942 1.876
Mg 2.958 0.000 0.000
Mg 4.437 3.942 5.628
Mg 4.437 -3.942 1.876
Pd 2.958 5.681 3.960
Pd 1.479 1.207 5.628
Pd 1.479 -1.207 1.876
Pd 2.958 2.873 0.208
Pd 2.958 -2.873 7.296
Pd 4.437 1.207 5.628
Pd 4.437 -1.207 1.876
Pd 2.958 -5.681 3.544

=====

3
Lattice="4.657 0.000 0.000 -2.329 4.033 0.000 0.000 0.000 3.988" Properties=species:S:1:pos:R:3 comment="LaMgPd (PBE, relaxed)" spacegroup="P-6m2, No. 187" delta_e_f_ev_per_atom=-0.4994 total_magnetization_mub_per_cell=0.00 dft_energy_ev_per_atom=-4.40 n_ef_per_ev_cell=3.2 rho_g_cm3=5.976 pbc="T T T"
La 0.000 0.000 0.000
Mg 0.000 2.689 1.994
Pd 2.329 1.344 1.994